No. 1
# UGa4Ni4

A relaxed UGa4Ni4 crystal (PBE-GGA, Alexandria).

```
UGa4Ni4
1.0
-4.030 4.030 2.265
4.030 -4.030 2.265
4.030 4.030 -2.265
U Ga Ni
1 4 4
direct
0.000 0.000 0.000 U
0.134 0.594 0.728 Ga
0.406 0.134 0.540 Ga
0.594 0.866 0.460 Ga
0.866 0.406 0.272 Ga
0.163 0.286 0.449 Ni
0.286 0.837 0.124 Ni
0.714 0.163 0.876 Ni
0.837 0.714 0.551 Ni
```

As for the symmetry: No. 87.

***

No. 2
# U2GaNi9

A relaxed U2GaNi9 crystal (PBE-GGA, Alexandria).

```
U2GaNi9
1.0
3.808 0.000 0.000
0.000 3.808 0.000
0.000 0.000 10.967
U Ga Ni
2 1 9
direct
0.000 0.000 0.179 U
0.000 0.000 0.821 U
0.000 0.000 0.500 Ga
0.000 0.500 0.000 Ni
0.000 0.500 0.345 Ni
0.000 0.500 0.655 Ni
0.500 0.000 0.000 Ni
0.500 0.000 0.345 Ni
0.500 0.000 0.655 Ni
0.500 0.500 0.174 Ni
0.500 0.500 0.500 Ni
0.500 0.500 0.826 Ni
```

As for the symmetry: No. 123. Its offset from the most stable computed form is 0.0 meV/atom.

***

No. 3
# UGa2Ni

A relaxed UGa2Ni crystal (PBE-GGA, Alexandria).

```
UGa2Ni
1.0
2.790 0.000 0.000
0.000 2.790 0.000
0.000 0.000 7.955
U Ga Ni
1 2 1
direct
0.000 0.000 0.000 U
0.500 0.500 0.300 Ga
0.500 0.500 0.700 Ga
0.000 0.000 0.500 Ni
```

As for the symmetry: No. 123.

***

No. 4
# UGa2Ni

A relaxed UGa2Ni crystal (PBE-GGA, Alexandria).

```
UGa2Ni
1.0
2.035 1.175 5.084
-2.035 1.175 5.084
0.000 -2.350 5.084
U Ga Ni
1 2 1
direct
0.000 0.000 0.000 U
0.214 0.214 0.214 Ga
0.786 0.786 0.786 Ga
0.500 0.500 0.500 Ni
```

As for the symmetry: No. 166.

***

No. 5
# UGa2Ni9

A relaxed UGa2Ni9 crystal (PBE-GGA, Alexandria).

```
UGa2Ni9
1.0
2.400 1.386 7.695
-2.400 1.386 7.695
0.000 -2.771 7.695
U Ga Ni
1 2 9
direct
0.000 0.000 0.000 U
0.142 0.142 0.142 Ga
0.858 0.858 0.858 Ga
0.082 0.588 0.588 Ni
0.334 0.334 0.334 Ni
0.412 0.412 0.918 Ni
0.412 0.918 0.412 Ni
0.500 0.500 0.500 Ni
0.588 0.082 0.588 Ni
0.588 0.588 0.082 Ni
0.666 0.666 0.666 Ni
0.918 0.412 0.412 Ni
```

As for the symmetry: No. 166.

***

No. 6
# UGa4Ni15

A relaxed UGa4Ni15 crystal (PBE-GGA, Alexandria).

```
UGa4Ni15
1.0
3.667 0.000 0.000
0.000 3.667 0.000
0.000 0.000 17.797
U Ga Ni
1 4 15
direct
0.000 0.000 0.000 U
0.000 0.000 0.210 Ga
0.000 0.000 0.403 Ga
0.000 0.000 0.597 Ga
0.000 0.000 0.790 Ga
0.000 0.500 0.105 Ni
0.000 0.500 0.305 Ni
0.000 0.500 0.500 Ni
0.000 0.500 0.695 Ni
0.000 0.500 0.895 Ni
0.500 0.000 0.105 Ni
0.500 0.000 0.305 Ni
0.500 0.000 0.500 Ni
0.500 0.000 0.695 Ni
0.500 0.000 0.895 Ni
0.500 0.500 0.000 Ni
0.500 0.500 0.206 Ni
0.500 0.500 0.402 Ni
0.500 0.500 0.598 Ni
0.500 0.500 0.794 Ni
```

As for the symmetry: No. 123.

***

No. 7
# UGa2Ni4

A relaxed UGa2Ni4 crystal (PBE-GGA, Alexandria).

```
UGa2Ni4
1.0
-1.801 1.801 8.044
1.801 -1.801 8.044
1.801 1.801 -8.044
U Ga Ni
1 2 4
direct
0.000 0.000 0.000 U
0.367 0.367 0.000 Ga
0.633 0.633 0.000 Ga
0.147 0.147 0.000 Ni
0.250 0.750 0.500 Ni
0.750 0.250 0.500 Ni
0.853 0.853 0.000 Ni
```

As for the symmetry: No. 139.

***

No. 8
# UGa6Ni6

A relaxed UGa6Ni6 crystal (PBE-GGA, Alexandria).

```
UGa6Ni6
1.0
-2.500 4.173 4.339
2.500 -4.173 4.339
2.500 4.173 -4.339
U Ga Ni
1 6 6
direct
0.000 0.000 0.000 U
0.188 0.688 0.500 Ga
0.345 0.000 0.345 Ga
0.346 0.346 0.000 Ga
0.654 0.654 0.000 Ga
0.655 0.000 0.655 Ga
0.812 0.312 0.500 Ga
0.000 0.000 0.500 Ni
0.000 0.500 0.000 Ni
0.235 0.500 0.735 Ni
0.500 0.000 0.000 Ni
0.500 0.500 0.500 Ni
0.765 0.500 0.265 Ni
```

As for the symmetry: No. 71.

***

No. 9
# U2GaNi9

A relaxed U2GaNi9 crystal (PBE-GGA, Alexandria).

```
U2GaNi9
1.0
2.393 1.381 8.155
-2.393 1.381 8.155
0.000 -2.763 8.155
U Ga Ni
2 1 9
direct
0.139 0.139 0.139 U
0.861 0.861 0.861 U
0.000 0.000 0.000 Ga
0.083 0.584 0.584 Ni
0.333 0.333 0.333 Ni
0.416 0.416 0.917 Ni
0.416 0.917 0.416 Ni
0.500 0.500 0.500 Ni
0.584 0.083 0.584 Ni
0.584 0.584 0.083 Ni
0.667 0.667 0.667 Ni
0.917 0.416 0.416 Ni
```

As for the symmetry: No. 166. Its offset from the most stable computed form is 45.3 meV/atom.

***

No. 10
# UGa4Ni5

A relaxed UGa4Ni5 crystal (PBE-GGA, Alexandria).

```
UGa4Ni5
1.0
2.946 0.000 0.000
0.000 2.946 0.000
0.000 0.000 15.273
U Ga Ni
1 4 5
direct
0.000 0.000 0.000 U
0.000 0.000 0.217 Ga
0.000 0.000 0.406 Ga
0.000 0.000 0.594 Ga
0.000 0.000 0.783 Ga
0.500 0.500 0.124 Ni
0.500 0.500 0.313 Ni
0.500 0.500 0.500 Ni
0.500 0.500 0.687 Ni
0.500 0.500 0.876 Ni
```

As for the symmetry: No. 123.

***

No. 11
# UGa2Ni

A relaxed UGa2Ni crystal (PBE-GGA, Alexandria).

```
UGa2Ni
1.0
6.210 0.000 0.000
0.000 4.405 0.000
0.000 0.000 10.120
U Ga Ni
4 8 4
direct
0.235 0.250 0.151 U
0.265 0.750 0.651 U
0.735 0.250 0.349 U
0.765 0.750 0.849 U
0.066 0.750 0.343 Ga
0.240 0.250 0.449 Ga
0.260 0.750 0.949 Ga
0.434 0.250 0.843 Ga
0.566 0.750 0.157 Ga
0.740 0.250 0.051 Ga
0.760 0.750 0.551 Ga
0.934 0.250 0.657 Ga
0.046 0.250 0.891 Ni
0.454 0.750 0.391 Ni
0.546 0.250 0.609 Ni
0.954 0.750 0.109 Ni
```

As for the symmetry: No. 62.

***

No. 12
# UZnGa4Ni2

A relaxed UZnGa4Ni2 crystal (PBE-GGA, Alexandria).

```
UZnGa4Ni2
1.0
3.988 0.000 0.000
0.000 3.988 0.000
0.000 0.000 8.484
U Zn Ga Ni
1 1 4 2
direct
0.000 0.000 0.000 U
0.000 0.000 0.500 Zn
0.000 0.500 0.304 Ga
0.000 0.500 0.696 Ga
0.500 0.000 0.304 Ga
0.500 0.000 0.696 Ga
0.500 0.500 0.138 Ni
0.500 0.500 0.862 Ni
```

As for the symmetry: No. 123.

***

ΔH_f (0 K) per entry: -0.11; -0.20; -0.25; -0.14; -0.21; -0.28; -0.11; -0.35; -0.15; -0.32; -0.26; -0.16 eV per atom
V per entry: 16.36; 13.25; 15.48; 18.23; 12.79; 11.97; 14.90; 13.93; 13.48; 13.25; 17.30; 16.86 A^3/atom